1.
Nb3MoRu, optimized geometry, DFT PBE-GGA; energy of formation = -226 meV per atom; volume = 168.16 Å³/cell; space-group type = Cmcm
1.0
-4.2514 -1.3971 -0.8006
1.5982 -3.4000 -2.5537
-1.7922 -5.4837 6.1795
Nb Ru Mo
6 2 2
Cartesian
-0.1437 -3.5176 -1.4671 Nb
-4.1336 -8.6661 2.8906 Nb
-0.0129 -5.3946 1.1139 Nb
-2.9376 -4.3949 1.9929 Nb
-2.8067 -6.2720 4.5739 Nb
-3.0682 -2.5206 -0.5844 Nb
-2.2048 -5.1432 -0.5925 Ru
-4.9971 -6.0435 2.8988 Ru
-2.0727 -7.0380 2.0128 Mo
-0.8777 -2.7515 1.0940 Mo

=====

2.
HfNi3Pb, optimized geometry, DFT PBE-GGA; energy of formation = 1046 meV per atom; volume = 100.14 Å³/cell; space-group type = Pm-3m
1.0
4.6437 0.0000 0.0000
0.0000 4.6437 0.0000
0.0000 0.0000 4.6437
Ni Hf Pb
3 1 1
Cartesian
2.3219 0.0000 0.0000 Ni
0.0000 0.0000 2.3219 Ni
0.0000 2.3219 0.0000 Ni
2.3219 2.3219 2.3219 Hf
0.0000 0.0000 0.0000 Pb

=====

3.
Sr2TbPbS4, optimized geometry, DFT PBE-GGA; volume = 206.24 Å³/cell; space-group type = P2/m
1.0
4.1529 0.0000 0.0000
0.0000 7.2872 0.1487
0.0000 -2.5259 6.7634
S Pb Tb Sr
4 1 1 2
Cartesian
0.0000 4.7589 1.6932 S
2.0765 1.2911 1.6645 S
0.0000 0.0024 5.2189 S
2.0765 3.4702 5.2477 S
0.0000 0.0000 0.0000 Pb
2.0765 3.6436 0.0744 Tb
0.0000 2.3807 3.4561 Sr
2.0765 -1.2630 3.3817 Sr

=====

4.
RbTlBP, optimized geometry, DFT PBE-GGA; energy of formation = 339 meV per atom; volume = 114.26 Å³/cell; space-group type = P3m1
1.0
-2.5973 -3.2701 -1.0730
3.3695 0.9875 -2.5025
4.0744 -4.4588 3.7265
Tl B P Rb
1 1 1 1
Cartesian
5.3182 -4.7409 1.5755 Tl
0.0466 -0.0510 0.0426 B
1.0742 -1.1755 0.9825 P
1.7794 -4.4639 0.6344 Rb

=====

5.
AcAgS2, optimized geometry, DFT PBE-GGA; volume = 94.60 Å³/cell; space-group type = P4/mmm
1.0
-0.5167 1.5544 3.2708
1.1153 -3.0750 1.6375
6.6588 2.3743 -0.0764
Ag Ac S
1 1 2
Cartesian
0.2993 -0.7603 2.4541 Ag
3.6287 0.4268 2.4159 Ac
1.7061 0.6083 -0.0196 S
4.9527 1.7660 -0.0569 S

=====

6.
AcAl, optimized geometry, DFT PBE-GGA; energy of formation = -284 meV per atom; volume = 476.41 Å³/cell; space-group type = Pbcm
1.0
-0.0179 -2.8166 -5.3546
6.2982 0.4800 -0.2735
1.0878 -10.9822 5.7731
Ac Al
8 8
Cartesian
2.8508 -4.1820 0.4812 Ac
4.5172 -9.1367 -0.3362 Ac
6.3172 -12.5851 1.4717 Ac
4.7089 -9.5729 3.3107 Ac
5.8038 -5.9038 1.3770 Ac
1.5642 -7.4149 -1.2321 Ac
2.6592 -3.7458 -3.1657 Ac
1.0509 -0.7335 -1.3267 Ac
4.3175 -1.5350 -0.9161 Al
4.6244 -6.1312 -1.9175 Al
2.7437 -7.1874 2.0625 Al
1.3660 -9.6023 1.6283 Al
3.0505 -11.7837 1.0610 Al
6.0110 -2.3081 1.1940 Al
6.0020 -3.7164 -1.4833 Al
1.3750 -8.1940 4.3055 Al

=====

no.,total DFT energy (no corrections) (eV per atom)
1,-10.29
2,-5.15
3,-5.17
4,-3.52
5,-4.75
6,-4.21